(1)
{
  "formula": "Pd3PtPb",
  "functional": "PBE-GGA",
  "state": "optimized geometry",
  "lattice": [[-2.463, -3.285, -2.809], [3.344, -3.497, 1.158], [-2.739, -1.315, 3.940]],
  "species": ["Pt", "Pd", "Pd", "Pd", "Pb"],
  "frac_coords": [[0.500, 0.500, 0.500], [0.000, 0.500, 0.000], [0.500, 0.000, 0.000], [0.000, 0.000, 0.500], [0.000, 0.000, 0.000]],
  "e_tot_ev_per_atom": -3.908,
  "formation_enthalpy_0k_ev_per_atom": 1.16,
  "crystal_system": "cubic",
  "total_magnetization_mub_per_fu": 0.00,
  "sg": "Pm-3m, No. 221"
}

---

(2)
{
  "formula": "SbW2Cl",
  "functional": "PBE-GGA",
  "state": "optimized geometry",
  "lattice": [[4.473, 0.000, 0.000], [0.000, 4.473, 0.000], [2.237, 2.237, 8.181]],
  "species": ["Sb", "Sb", "W", "W", "W", "W", "Cl", "Cl"],
  "frac_coords": [[0.000, 0.000, 0.000], [0.750, 0.250, 0.500], [0.375, 0.457, 0.750], [0.207, 0.625, 0.250], [0.543, 0.125, 0.250], [0.875, 0.793, 0.750], [0.250, 0.750, 0.500], [0.500, 0.500, 0.000]],
  "e_form_raw_ev_per_atom": 0.980,
  "e_tot_ev_per_atom": -6.988,
  "crystal_system": "tetragonal",
  "total_magnetization_mub_per_fu": 0.00,
  "sg": "I-42d, No. 122"
}